VASP calculation (GGA-PBE) on a geometry-optimized Ag2Sn2S structure.

- Polymorph energy (0 for the lowest one): 9 meV per atom
- Electronic total energy: -34.43 eV/cell
- SG: P4/mbm

a = 7.707 Å, b = 7.707 Å, c = 3.943 Å
α = 90.00°, β = 90.00°, γ = 90.00°
Atoms (fractional coordinates):
Ag 0.126 0.374 0.000
Ag 0.374 0.874 0.000
Ag 0.626 0.126 0.000
Ag 0.874 0.626 0.000
Sn 0.181 0.681 0.500
Sn 0.319 0.181 0.500
Sn 0.681 0.819 0.500
Sn 0.819 0.319 0.500
S 0.000 0.000 0.500
S 0.500 0.500 0.500